The following is a DFT calculation (GGA-PBE) of Tm2PaOs after structural relaxation.

```
Tm2PaOs
1.0
1.603 0.926 10.673
-1.603 0.926 10.673
0.000 -1.851 10.673
Tm Pa Os
2 1 1
direct
0.101 0.101 0.101 Tm
0.899 0.899 0.899 Tm
0.000 0.000 0.000 Pa
0.500 0.500 0.500 Os
```

ΔH_f (0 K) ... 268 meV/atom
Magnetization ... 0.0000 μB/atom
SG ... R-3m


The following is a DFT calculation (GGA-PBE) of TmPaOs after structural relaxation.

```
TmPaOs
1.0
-1.757 1.757 5.440
1.757 -1.757 5.440
1.757 1.757 -5.440
Tm Pa Os
1 1 1
direct
0.000 0.000 0.000 Tm
0.296 0.296 0.000 Pa
0.678 0.678 0.000 Os
```

ΔH_f (0 K) ... -205 meV/atom
Magnetization ... 0.0000 μB/atom
Energy relative to the lowest polymorph listed for this composition ... 0.00 eV/f.u.
SG ... I4mm


The following is a DFT calculation (GGA-PBE) of TmPa2Os after structural relaxation.

```
TmPa2Os
1.0
1.800 1.039 9.930
-1.800 1.039 9.930
0.000 -2.079 9.930
Tm Pa Os
1 2 1
direct
0.000 0.000 0.000 Tm
0.107 0.107 0.107 Pa
0.893 0.893 0.893 Pa
0.500 0.500 0.500 Os
```

ΔH_f (0 K) ... 344 meV/atom
Magnetization ... 0.3010 μB/atom
Energy relative to the lowest polymorph listed for this composition ... 1.38 eV/f.u.
SG ... R-3m


The following is a DFT calculation (GGA-PBE) of TmPaOs after structural relaxation.

```
TmPaOs
1.0
4.779 0.000 0.000
-2.390 4.139 0.000
0.000 0.000 3.177
Tm Pa Os
1 1 1
direct
0.000 0.000 0.000 Tm
0.667 0.333 0.633 Pa
0.333 0.667 0.356 Os
```

ΔH_f (0 K) ... -26 meV/atom
Magnetization ... 0.0000 μB/atom
Energy relative to the lowest polymorph listed for this composition ... 0.54 eV/f.u.
SG ... P3m1


The following is a DFT calculation (GGA-PBE) of UPaOs2 after structural relaxation.

```
UPaOs2
1.0
1.505 0.869 9.521
-1.505 0.869 9.521
0.000 -1.738 9.521
U Pa Os
1 1 2
direct
0.000 0.000 0.000 U
0.500 0.500 0.500 Pa
0.252 0.252 0.252 Os
0.748 0.748 0.748 Os
```

ΔH_f (0 K) ... 293 meV/atom
Magnetization ... 0.2688 μB/atom
Energy relative to the lowest polymorph listed for this composition ... 1.51 eV/f.u.
SG ... R-3m


The following is a DFT calculation (GGA-PBE) of UPaOs after structural relaxation.

```
UPaOs
1.0
4.777 0.000 0.000
-2.388 4.137 0.000
0.000 0.000 2.866
U Pa Os
1 1 1
direct
0.000 0.000 0.000 U
0.333 0.667 0.000 Pa
0.667 0.333 0.500 Os
```

ΔH_f (0 K) ... -30 meV/atom
Magnetization ... 0.0003 μB/atom
Energy relative to the lowest polymorph listed for this composition ... 0.13 eV/f.u.
SG ... P-6m2